This record from the Alexandria database describes crystalline GaSiTePd2 at its relaxed geometry. The functional is PBEsol.

Uncorrected energy: -20.96 eV/cell
DOS at the Fermi energy: 2.926 states/eV/f.u.
Space-group type: P4/mmm (123)

Cell and atoms, written as POSCAR:
```
GaSiTePd2
1.0
4.896 0.000 0.000
0.000 4.896 0.000
0.000 0.000 5.227
Si Te Ga Pd
1 1 1 2
Cartesian
0.000 0.000 2.613
0.000 0.000 0.000
2.448 2.448 2.613
0.000 2.448 0.000
2.448 0.000 0.000
```

This record from the Alexandria database describes crystalline Li2CuPt at its relaxed geometry. The functional is PBEsol.

E above lowest polymorph: 0 meV/atom
DOS at the Fermi energy: 1.125 states/eV/f.u.
Space-group type: Immm (71)

Cell and atoms, written as POSCAR:
```
Li2CuPt
1.0
2.881 0.000 0.000
0.000 4.237 0.000
-1.440 -2.119 4.148
Pt Cu Li
1 1 2
Cartesian
1.440 0.000 0.000
0.000 2.119 0.000
1.440 2.119 2.025
0.000 0.000 2.123
```

> Which formula does entry 2 have?

Li2CuPt

> Look up the DOS at the Fermi energy of the second one.

1.125 states/eV/f.u.

> What is the DOS at the Fermi energy in the second record?

1.125 states/eV/f.u.